Cd2CuTeBr after structural relaxation, computed with PBE.

M_tot (μB per cell): 0.0
Space group: P4/mmm (123)
Formation energy from raw total energies (eV per formula unit): 1.97
Raw total energy (Ry/atom): -0.129

Unit cell a=5.733 b=5.733 c=4.571 alpha=90.00 beta=90.00 gamma=90.00
Element x y z (fractional)
Cd (0.000, 0.500, 0.000)
Cd (0.500, 0.000, 0.000)
Cu (0.000, 0.000, 0.500)
Te (0.500, 0.500, 0.500)
Br (0.000, 0.000, 0.000)